(1)
NaP2Os: relaxed, PBE-GGA.

Geometry as CIF:
```
data_NaP2Os
_chemical_formula_sum 'Na2 P4 Os2'
_space_group_name_H-M_alt 'P 1'
_space_group_IT_number 1
_space_group_name_Hall 'P 1'
_cell_length_a 6.1948
_cell_length_b 6.1948
_cell_length_c 6.7719
_cell_angle_alpha 62.78
_cell_angle_beta 62.78
_cell_angle_gamma 90.00
loop_
_atom_site_label
_atom_site_type_symbol
_atom_site_fract_x
_atom_site_fract_y
_atom_site_fract_z
P1 P 0.0286 0.6250 0.2500
Na1 Na 0.2500 0.7500 0.5000
P2 P 0.7214 0.1250 0.2500
P3 P 0.3750 0.2786 0.7500
Os1 Os 0.7500 0.2500 0.5000
Os2 Os 0.0000 0.0000 0.0000
P4 P 0.8750 0.9714 0.7500
Na2 Na 0.5000 0.5000 0.0000
```

Output
excess energy over the best structure of this formula in the dataset	0.000	eV per atom
calculated total energy	-47.41	eV for the cell shown
DFT formation energy	-83.7	meV per atom

(2)
Sm2Al3Ag2: relaxed, PBE-GGA.

Geometry as CIF:
```
data_Sm2Al3Ag2
_chemical_formula_sum 'Sm4 Al6 Ag4'
_space_group_name_H-M_alt 'P 1'
_space_group_IT_number 1
_space_group_name_Hall 'P 1'
_cell_length_a 4.3555
_cell_length_b 7.4485
_cell_length_c 9.8395
_cell_angle_alpha 90.00
_cell_angle_beta 102.79
_cell_angle_gamma 90.00
loop_
_atom_site_label
_atom_site_type_symbol
_atom_site_fract_x
_atom_site_fract_y
_atom_site_fract_z
Sm1 Sm 0.9463 0.2500 0.8926
Sm2 Sm 0.8436 0.7500 0.6872
Ag1 Ag 0.3110 0.0545 0.6219
Al1 Al 0.7755 0.2500 0.5510
Al2 Al 0.2245 0.7500 0.4490
Al3 Al 0.4409 0.5759 0.8817
Sm3 Sm 0.1564 0.2500 0.3128
Ag2 Ag 0.3110 0.4455 0.6219
Ag3 Ag 0.6890 0.5545 0.3781
Al4 Al 0.5591 0.4241 0.1183
Ag4 Ag 0.6890 0.9455 0.3781
Al5 Al 0.5591 0.0759 0.1183
Al6 Al 0.4409 0.9241 0.8817
Sm4 Sm 0.0537 0.7500 0.1074
```

Output
excess energy over the best structure of this formula in the dataset	0.022	eV per atom
calculated total energy	-57.71	eV for the cell shown
DFT formation energy	-355.4	meV per atom